An optimized crystal structure of Li2AcVF8. Source: Alexandria, functional GGA+U.

Properties
Theoretical density   4.57 g/cm³
Uncorrected energy   -69.8 eV per cell

```
data_Li2AcVF8
_cell_length_a 4.3507
_cell_length_b 5.0030
_cell_length_c 7.4765
_cell_angle_alpha 96.57
_cell_angle_beta 91.50
_cell_angle_gamma 92.88
_symmetry_space_group_name_H-M 'P -1'
_symmetry_Int_Tables_number 2
loop_
_symmetry_equiv_pos_as_xyz
'x,y,z'
'-x,-y,-z'
loop_
_atom_site_label
_atom_site_type_symbol
_atom_site_fract_x
_atom_site_fract_y
_atom_site_fract_z
Li1 Li 0.0319 0.4637 0.3136
Ac1 Ac 0.5000 0.0000 0.0000
V1 V 0.5000 0.0000 0.5000
F1 F 0.0593 0.2640 0.0687
F2 F 0.1733 0.2554 0.5137
F3 F 0.3305 0.7671 0.2727
F4 F 0.3477 0.7801 0.6882
```